(1)
A plane-wave DFT calculation with PBE was carried out for crystalline MgSi3Pt3 at its relaxed geometry.

Summary:
- Fermi-level density of states: 0.5179 states/eV/atom

Cell lengths 6.644, 6.644, 6.644 Å; angles 90.00, 90.00, 90.00 degrees
Element x y z (fractional)
1 Si 0.250 0.000 0.500
2 Si 0.000 0.500 0.250
3 Si 0.500 0.750 0.000
4 Si 0.750 0.000 0.500
5 Si 0.000 0.500 0.750
6 Si 0.500 0.250 0.000
7 Mg 0.500 0.500 0.500
8 Mg 0.000 0.000 0.000
9 Pt 0.000 0.250 0.500
10 Pt 0.000 0.750 0.500
11 Pt 0.500 0.000 0.750
12 Pt 0.750 0.500 0.000
13 Pt 0.500 0.000 0.250
14 Pt 0.250 0.500 0.000


(2)
A plane-wave DFT calculation with PBE was carried out for crystalline Mg3Si2Pt at its relaxed geometry.

Summary:
- Fermi-level density of states: 0.2434 states/eV/atom

Cell lengths 7.693, 7.494, 7.948 Å; angles 90.00, 109.55, 90.00 degrees
Element x y z (fractional)
1 Mg 0.211 0.878 0.118
2 Mg 0.289 0.378 0.382
3 Mg 0.789 0.122 0.882
4 Mg 0.711 0.622 0.618
5 Mg 0.311 0.520 0.015
6 Mg 0.189 0.020 0.485
7 Mg 0.689 0.480 0.985
8 Mg 0.811 0.980 0.515
9 Mg 0.989 0.644 0.367
10 Mg 0.511 0.144 0.133
11 Mg 0.011 0.356 0.633
12 Mg 0.489 0.856 0.867
13 Si 0.816 0.920 0.173
14 Si 0.684 0.420 0.327
15 Si 0.184 0.080 0.827
16 Si 0.316 0.580 0.673
17 Si 0.372 0.739 0.430
18 Si 0.128 0.239 0.070
19 Si 0.628 0.261 0.570
20 Si 0.872 0.761 0.930
21 Pt 0.586 0.741 0.254
22 Pt 0.914 0.241 0.246
23 Pt 0.414 0.259 0.746
24 Pt 0.086 0.759 0.754


(3)
A plane-wave DFT calculation with PBE was carried out for crystalline MgSiPt2 at its relaxed geometry.

Summary:
- Fermi-level density of states: 0.2730 states/eV/atom

Cell lengths 3.765, 3.311, 5.546 Å; angles 89.86, 90.00, 90.00 degrees
Element x y z (fractional)
1 Mg 0.500 0.750 0.750
2 Pt 0.000 0.249 0.995
3 Pt 0.000 0.251 0.505
4 Si 0.500 0.250 0.250


(4)
A plane-wave DFT calculation with PBE was carried out for crystalline Mg5Si16Pt10 at its relaxed geometry.

Summary:
- Fermi-level density of states: 0.1773 states/eV/atom

Cell lengths 8.966, 8.966, 8.966 Å; angles 60.00, 60.00, 60.00 degrees
Element x y z (fractional)
1 Mg 0.344 0.344 0.344
2 Mg 0.968 0.344 0.344
3 Mg 0.344 0.968 0.344
4 Mg 0.344 0.344 0.968
5 Mg 0.000 0.000 0.000
6 Si 0.677 0.955 0.955
7 Si 0.573 0.573 0.282
8 Si 0.573 0.282 0.573
9 Si 0.282 0.573 0.573
10 Si 0.573 0.573 0.573
11 Si 0.412 0.955 0.955
12 Si 0.412 0.955 0.677
13 Si 0.412 0.677 0.955
14 Si 0.955 0.955 0.412
15 Si 0.955 0.412 0.955
16 Si 0.955 0.955 0.677
17 Si 0.677 0.955 0.412
18 Si 0.955 0.677 0.955
19 Si 0.955 0.412 0.677
20 Si 0.677 0.412 0.955
21 Si 0.955 0.677 0.412
22 Pt 0.127 0.127 0.127
23 Pt 0.732 0.732 0.268
24 Pt 0.268 0.268 0.732
25 Pt 0.732 0.268 0.732
26 Pt 0.268 0.732 0.732
27 Pt 0.732 0.268 0.268
28 Pt 0.268 0.732 0.268
29 Pt 0.127 0.127 0.620
30 Pt 0.127 0.620 0.127
31 Pt 0.620 0.127 0.127


Let's list final energy in order: -5.43 -3.94 -5.40 -5.61 eV/atom.